1.
## ZrAgIr (PBE)

Data for ZrAgIr after structural relaxation.

The calculation puts the formation energy from the elements at -38.3 kJ/mol of atoms. As for the distance to the lowest polymorph of the same formula: 48 meV per atom. The density of states at the Fermi level is 0.4862 states/eV per atom. The value obtained for the total energy is -7.151 eV/atom. Its crystal system is monoclinic.

The structure belongs to space group C2/c (No. 15); the cell edges are 5.099, 8.683 and 5.212 Å and the angles 90.00°, 110.99° and 90.00°. Symmetry generates all atoms from Zr at (0.000, 0.120, 0.250), Ag at (0.000, 0.448, 0.250) and Ir at (0.000, 0.215, 0.750).

2.
## DyTmMnPd (PBE)

Data for DyTmMnPd after structural relaxation.

The calculation puts the formation energy from the elements at -28.1 kJ/mol of atoms. The density of states at the Fermi level is 1.1867 states/eV per atom. The value obtained for the total energy is -6.150 eV/atom. Its crystal system is cubic.

The structure belongs to space group F-43m (No. 216); the cell edges are 6.996, 6.996 and 6.996 Å and the angles 90.00°, 90.00° and 90.00°. Symmetry generates all atoms from Dy at (0.000, 0.000, 0.000), Tm at (0.000, 0.000, 0.500), Mn at (0.250, 0.250, 0.250) and Pd at (0.250, 0.250, 0.750).

3.
## Sr2Ga4SnAu3 (PBE)

Data for Sr2Ga4SnAu3 after structural relaxation.

The calculation puts the formation energy from the elements at -53.0 kJ/mol of atoms. The density of states at the Fermi level is 0.4009 states/eV per atom. The value obtained for the total energy is -3.480 eV/atom. Its crystal system is tetragonal.

The structure belongs to space group P-4m2 (No. 115); the cell edges are 4.466, 4.466 and 11.425 Å and the angles 90.00°, 90.00° and 90.00°. Symmetry generates all atoms from Sr at (0.000, 0.500, 0.243), Ga at (0.000, 0.000, 0.000), Ga at (0.000, 0.500, 0.648), Ga at (0.500, 0.500, 0.000), Sn at (0.000, 0.000, 0.500), Au at (0.000, 0.500, 0.873) and Au at (0.500, 0.500, 0.500).

4.
## Hf3GaH (PBE)

Data for Hf3GaH after structural relaxation.

The density of states at the Fermi level is 0.6639 states/eV per atom. The value obtained for the total energy is -7.475 eV/atom. Its crystal system is monoclinic.

The structure belongs to space group P2_1/m (No. 11); the cell edges are 6.057, 3.695 and 7.800 Å and the angles 90.00°, 103.21° and 90.00°. Symmetry generates all atoms from Hf at (0.082, 0.250, 0.368), Hf at (0.252, 0.250, 0.920), Hf at (0.405, 0.750, 0.628), Ga at (0.281, 0.750, 0.183) and H at (0.179, 0.250, 0.645).

5.
## K4NiH5 (PBE)

Data for K4NiH5 after structural relaxation.

The density of states at the Fermi level is 0.1934 states/eV per atom. The value obtained for the total energy is -2.754 eV/atom. Its crystal system is tetragonal.

The structure belongs to space group I4 (No. 79); the cell edges are 8.331, 8.331 and 5.729 Å and the angles 90.00°, 90.00° and 90.00°. Symmetry generates all atoms from K at (0.128, 0.727, 0.000), Ni at (0.000, 0.000, 0.530), H at (0.000, 0.000, 0.821) and H at (0.043, 0.818, 0.478).

6.
## ErSbH2 (PBE)

Data for ErSbH2 after structural relaxation.

As for the distance to the lowest polymorph of the same formula: 15 meV per atom. The density of states at the Fermi level is 0.3601 states/eV per atom. The value obtained for the total energy is -4.308 eV/atom. Its crystal system is trigonal.

The structure belongs to space group R-3m (No. 166, hexagonal axes); the cell edges are 3.5453, 3.5453 and 16.7021 Å and the angles 90.00°, 90.00° and 120.00°. Symmetry generates all atoms from Er at (0.0000, 0.0000, 0.0000), Sb at (0.0000, 0.0000, 0.5000) and H at (0.0000, 0.0000, 0.3032).

7.
## YMgZrCd (PBE)

Data for YMgZrCd after structural relaxation.

The calculation puts the formation energy from the elements at -5.9 kJ/mol of atoms. The density of states at the Fermi level is 1.1557 states/eV per atom. The value obtained for the total energy is -4.442 eV/atom. Its crystal system is cubic.

The structure belongs to space group F-43m (No. 216); the cell edges are 7.279, 7.279 and 7.279 Å and the angles 90.00°, 90.00° and 90.00°. Symmetry generates all atoms from Y at (0.000, 0.000, 0.000), Mg at (0.250, 0.250, 0.750), Zr at (0.000, 0.000, 0.500) and Cd at (0.250, 0.250, 0.250).

8.
## Dy3Fe7Tc2 (PBE)

Data for Dy3Fe7Tc2 after structural relaxation.

The calculation puts the formation energy from the elements at -5.2 kJ/mol of atoms. The density of states at the Fermi level is 0.9006 states/eV per atom. The value obtained for the total energy is -7.869 eV/atom. Its crystal system is trigonal.

The structure belongs to space group R-3m (No. 166, hexagonal axes); the cell edges are 5.0867, 5.0867 and 25.0383 Å and the angles 90.00°, 90.00° and 120.00°. Symmetry generates all atoms from Dy at (0.0000, 0.0000, 0.0000), Dy at (0.0000, 0.0000, 0.1417), Fe at (0.0000, 0.0000, 0.5000), Fe at (0.0016, 0.5008, 0.0841) and Tc at (0.0000, 0.0000, 0.3320).